Here is an optimized crystal structure of DyHoCdOs from the Alexandria database. Energies are from PBE.

calculated density = 11.38 Mg/m³
energy = -5.6503 eV/atom
symmetry = P4mm
formation energy from the elements = -0.319 eV/atom
Fermi-level density of states = 2.6 states/eV per cell

Cell lengths 3.4399, 3.4399, 7.7693 Å; angles 90.00, 90.00, 90.00 degrees
With the nearest neighbours (Å) after each atom.
Atoms (fractional coordinates):
1 Dy 0.0000 0.0000 0.0000  4 Os 2.95
2 Ho 0.0000 0.0000 0.5746  4 Os 2.93
3 Cd 0.5000 0.5000 0.2890  4 Ho 3.29, 4 Dy 3.31, 4 Cd 3.44
4 Os 0.5000 0.5000 0.7860  4 Ho 2.93, 4 Dy 2.95